Material: LaIr2Cl2
Method: DFT, PBE
State: optimized geometry

## Properties
E_form (uncorrected), eV/atom: -0.445
VASP energy, eV/atom: -5.713
E above lowest polymorph, meV per atom: 0
N(E_F), states/eV/atom: 1.20

a = 3.5137 Å, b = 3.5137 Å, c = 21.5523 Å
α = 90.00°, β = 90.00°, γ = 90.00°
Closest atoms and distances in Å follow each position.
Space group I4/mmm (No. 139)
One atom of each set of equivalent atoms:
La1 0.0000 0.0000 0.0000 (multiplicity 2)  8 Cl 2.97
Ir1 0.0000 0.5000 0.2500 (multiplicity 4)  4 Ir 2.48
Cl1 0.0000 0.0000 0.4248 (multiplicity 4)  4 La 2.97, 1 Cl 3.24